An optimized crystal structure of Hf2GaRh5, computed with GGA-PBE.

## Properties
Crystal system ... orthorhombic
DOS(E_F) ... 0.675 states/eV per atom
E_form ... -0.913 eV per atom

```
data_Hf2GaRh5
_chemical_formula_sum 'Hf4 Ga2 Rh10'
_cell_length_a 5.530
_cell_length_b 10.949
_cell_length_c 4.074
_cell_angle_alpha 90.00
_cell_angle_beta 90.00
_cell_angle_gamma 90.00
_space_group_name_H-M_alt 'P b a m'
_space_group_IT_number 55
loop_
_space_group_symop_operation_xyz
'x,y,z'
'-x,-y,-z'
'-x,-y,z'
'x,y,-z'
'x+1/2,-y+1/2,-z'
'-x+1/2,y+1/2,z'
'-x+1/2,y+1/2,-z'
'x+1/2,-y+1/2,z'
loop_
_atom_site_label
_atom_site_type_symbol
_atom_site_fract_x
_atom_site_fract_y
_atom_site_fract_z
Hf1 Hf 0.187 0.139 0.000
Ga1 Ga 0.000 0.500 0.500
Rh1 Rh 0.000 0.000 0.500
Rh2 Rh 0.062 0.747 0.500
Rh3 Rh 0.193 0.390 0.000
```